Here is an optimized crystal structure of Tc2NCl from Alexandria via LeMat-Bulk. Energies are from GGA-PBE.

* ΔE to the lowest computed polymorph: 0.0 kJ per mole of atoms
* uncorrected formation energy: 398 meV per atom
* magnetization: 0.00 μB/f.u.
* VASP energy: -0.53862 Ry/atom

Cell lengths 4.731, 4.731, 6.444 Å; angles 68.46, 68.46, 90.00 degrees
Fractional positions:
N  0.500  0.500  0.000
N  0.250  0.750  0.500
Tc  0.533  0.125  0.250
Tc  0.217  0.625  0.250
Tc  0.375  0.467  0.750
Tc  0.875  0.783  0.750
Cl  0.000  0.000  0.000
Cl  0.750  0.250  0.500